Model a:
# CaPtCl2 | the Alexandria database | PBE-GGA | relaxed
# Magnetization (μB per formula unit): 0.00
data_CaPtCl2
_symmetry_space_group_name_H-M 'F m -3 m'
_symmetry_Int_Tables_number 225
_symmetry_space_group_name_Hall '-F 4 2 3'
_cell_length_a 6.837
_cell_length_b 6.837
_cell_length_c 6.837
_cell_angle_alpha 90.00
_cell_angle_beta 90.00
_cell_angle_gamma 90.00
loop_
_atom_site_label
_atom_site_type_symbol
_atom_site_fract_x
_atom_site_fract_y
_atom_site_fract_z
Ca1 Ca 0.000 0.000 0.000
Pt1 Pt 0.000 0.000 0.500
Cl1 Cl 0.250 0.250 0.250

Model b:
# CaPtCl2 | the Alexandria database | PBE-GGA | relaxed
# Magnetization (μB per formula unit): 0.00
data_CaPtCl2
_symmetry_space_group_name_H-M 'P 4/m m m'
_symmetry_Int_Tables_number 123
_symmetry_space_group_name_Hall '-P 4 2'
_cell_length_a 4.582
_cell_length_b 4.582
_cell_length_c 3.775
_cell_angle_alpha 90.00
_cell_angle_beta 90.00
_cell_angle_gamma 90.00
loop_
_atom_site_label
_atom_site_type_symbol
_atom_site_fract_x
_atom_site_fract_y
_atom_site_fract_z
Ca1 Ca 0.000 0.000 0.000
Pt1 Pt 0.500 0.500 0.000
Cl1 Cl 0.000 0.500 0.500

Which structure wins on stability? model a wins.

Model a:
# CaPtCl2 | the Alexandria database | PBE-GGA | relaxed
# Magnetization (μB per formula unit): 0.00
data_CaPtCl2
_symmetry_space_group_name_H-M 'R 3 m'
_symmetry_Int_Tables_number 160
_symmetry_space_group_name_Hall 'R 3 -2"'
_cell_length_a 4.1784
_cell_length_b 4.1784
_cell_length_c 20.9531
_cell_angle_alpha 90.00
_cell_angle_beta 90.00
_cell_angle_gamma 120.00
loop_
_atom_site_label
_atom_site_type_symbol
_atom_site_fract_x
_atom_site_fract_y
_atom_site_fract_z
Ca1 Ca 0.0000 0.0000 0.0000
Pt1 Pt 0.0000 0.0000 0.7568
Cl1 Cl 0.0000 0.0000 0.2664
Cl2 Cl 0.0000 0.0000 0.4353

Model b:
# CaPtCl2 | the Alexandria database | PBE-GGA | relaxed
# Magnetization (μB per formula unit): 0.00
data_CaPtCl2
_symmetry_space_group_name_H-M 'I m m m'
_symmetry_Int_Tables_number 71
_symmetry_space_group_name_Hall '-I 2 2'
_cell_length_a 4.186
_cell_length_b 5.461
_cell_length_c 7.222
_cell_angle_alpha 90.00
_cell_angle_beta 90.00
_cell_angle_gamma 90.00
loop_
_atom_site_label
_atom_site_type_symbol
_atom_site_fract_x
_atom_site_fract_y
_atom_site_fract_z
Ca1 Ca 0.000 0.000 0.000
Pt1 Pt 0.000 0.000 0.500
Cl1 Cl 0.000 0.500 0.220

Which structure wins on stability? model a wins.

Model a:
# CaPtCl2 | the Alexandria database | PBE-GGA | relaxed
# Magnetization (μB per formula unit): 0.00
data_CaPtCl2
_symmetry_space_group_name_H-M 'F -4 3 m'
_symmetry_Int_Tables_number 216
_symmetry_space_group_name_Hall 'F -4 2 3'
_cell_length_a 6.925
_cell_length_b 6.925
_cell_length_c 6.925
_cell_angle_alpha 90.00
_cell_angle_beta 90.00
_cell_angle_gamma 90.00
loop_
_atom_site_label
_atom_site_type_symbol
_atom_site_fract_x
_atom_site_fract_y
_atom_site_fract_z
Ca1 Ca 0.000 0.000 0.000
Pt1 Pt 0.250 0.250 0.750
Cl1 Cl 0.000 0.000 0.500
Cl2 Cl 0.250 0.250 0.250

Model b:
# CaPtCl2 | the Alexandria database | PBE-GGA | relaxed
# Magnetization (μB per formula unit): 0.81
data_CaPtCl2
_symmetry_space_group_name_H-M 'P 4/m m m'
_symmetry_Int_Tables_number 123
_symmetry_space_group_name_Hall '-P 4 2'
_cell_length_a 3.224
_cell_length_b 3.224
_cell_length_c 10.636
_cell_angle_alpha 90.00
_cell_angle_beta 90.00
_cell_angle_gamma 90.00
loop_
_atom_site_label
_atom_site_type_symbol
_atom_site_fract_x
_atom_site_fract_y
_atom_site_fract_z
Ca1 Ca 0.000 0.000 0.000
Pt1 Pt 0.000 0.000 0.500
Cl1 Cl 0.500 0.500 0.152

Model c:
# CaPtCl2 | the Alexandria database | PBE-GGA | relaxed
# Magnetization (μB per formula unit): 0.00
data_CaPtCl2
_symmetry_space_group_name_H-M 'I -4 2 d'
_symmetry_Int_Tables_number 122
_symmetry_space_group_name_Hall 'I -4 2bw'
_cell_length_a 4.769
_cell_length_b 4.769
_cell_length_c 16.312
_cell_angle_alpha 90.00
_cell_angle_beta 90.00
_cell_angle_gamma 90.00
loop_
_atom_site_label
_atom_site_type_symbol
_atom_site_fract_x
_atom_site_fract_y
_atom_site_fract_z
Ca1 Ca 0.000 0.000 0.000
Pt1 Pt 0.000 0.000 0.500
Cl1 Cl 0.222 0.250 0.625

Model d:
# CaPtCl2 | the Alexandria database | PBE-GGA | relaxed
# Magnetization (μB per formula unit): 0.00
data_CaPtCl2
_symmetry_space_group_name_H-M 'C 1 2/m 1'
_symmetry_Int_Tables_number 12
_cell_length_a 6.577
_cell_length_b 8.171
_cell_length_c 4.749
_cell_angle_alpha 90.00
_cell_angle_beta 133.63
_cell_angle_gamma 90.00
loop_
_symmetry_equiv_pos_as_xyz
'x,y,z'
'-x,-y,-z'
'-x,y,-z'
'x,-y,z'
'x+1/2,y+1/2,z'
'-x+1/2,-y+1/2,-z'
'-x+1/2,y+1/2,-z'
'x+1/2,-y+1/2,z'
loop_
_atom_site_label
_atom_site_type_symbol
_atom_site_fract_x
_atom_site_fract_y
_atom_site_fract_z
Ca1 Ca 0.000 0.000 0.000
Pt1 Pt 0.000 0.500 0.000
Cl1 Cl 0.250 0.250 0.500

Which structure wins on stability? model d wins.

Model a:
# CaPtCl2 | the Alexandria database | PBE-GGA | relaxed
# Magnetization (μB per formula unit): 0.00
data_CaPtCl2
_symmetry_space_group_name_H-M 'C m m 2'
_symmetry_Int_Tables_number 35
_cell_length_a 4.387
_cell_length_b 6.716
_cell_length_c 7.740
_cell_angle_alpha 90.00
_cell_angle_beta 90.00
_cell_angle_gamma 90.00
loop_
_symmetry_equiv_pos_as_xyz
'x,y,z'
'-x,-y,z'
'-x,y,z'
'x,-y,z'
'x+1/2,y+1/2,z'
'-x+1/2,-y+1/2,z'
'-x+1/2,y+1/2,z'
'x+1/2,-y+1/2,z'
loop_
_atom_site_label
_atom_site_type_symbol
_atom_site_fract_x
_atom_site_fract_y
_atom_site_fract_z
Ca1 Ca 0.000 0.000 0.000
Pt1 Pt 0.000 0.500 0.272
Cl1 Cl 0.000 0.000 0.356
Cl2 Cl 0.000 0.500 0.802

Model b:
# CaPtCl2 | the Alexandria database | PBE-GGA | relaxed
# Magnetization (μB per formula unit): 0.00
data_CaPtCl2
_symmetry_space_group_name_H-M 'P 4 m m'
_symmetry_Int_Tables_number 99
_cell_length_a 3.650
_cell_length_b 3.650
_cell_length_c 7.383
_cell_angle_alpha 90.00
_cell_angle_beta 90.00
_cell_angle_gamma 90.00
loop_
_symmetry_equiv_pos_as_xyz
'x,y,z'
'-y,x,z'
'-x,-y,z'
'y,-x,z'
'-x,y,z'
'y,x,z'
'x,-y,z'
'-y,-x,z'
loop_
_atom_site_label
_atom_site_type_symbol
_atom_site_fract_x
_atom_site_fract_y
_atom_site_fract_z
Ca1 Ca 0.000 0.000 0.000
Pt1 Pt 0.500 0.500 0.700
Cl1 Cl 0.000 0.000 0.653
Cl2 Cl 0.500 0.500 0.176

Which structure wins on stability? model a wins.

Model a:
# Ca2PtCl | the Alexandria database | PBE-GGA | relaxed
# Magnetization (μB per formula unit): 0.00
data_Ca2PtCl
_symmetry_space_group_name_H-M 'I -4 2 d'
_symmetry_Int_Tables_number 122
_symmetry_space_group_name_Hall 'I -4 2bw'
_cell_length_a 7.381
_cell_length_b 7.381
_cell_length_c 8.317
_cell_angle_alpha 90.00
_cell_angle_beta 90.00
_cell_angle_gamma 90.00
loop_
_atom_site_label
_atom_site_type_symbol
_atom_site_fract_x
_atom_site_fract_y
_atom_site_fract_z
Ca1 Ca 0.247 0.250 0.125
Pt1 Pt 0.000 0.000 0.000
Cl1 Cl 0.000 0.000 0.500

Model b:
# Ca2PtCl | the Alexandria database | PBE-GGA | relaxed
# Magnetization (μB per formula unit): 0.00
data_Ca2PtCl
_symmetry_space_group_name_H-M 'I m m 2'
_symmetry_Int_Tables_number 44
_cell_length_a 3.719
_cell_length_b 3.751
_cell_length_c 15.120
_cell_angle_alpha 90.00
_cell_angle_beta 90.00
_cell_angle_gamma 90.00
loop_
_symmetry_equiv_pos_as_xyz
'x,y,z'
'-x,-y,z'
'-x,y,z'
'x,-y,z'
'x+1/2,y+1/2,z+1/2'
'-x+1/2,-y+1/2,z+1/2'
'-x+1/2,y+1/2,z+1/2'
'x+1/2,-y+1/2,z+1/2'
loop_
_atom_site_label
_atom_site_type_symbol
_atom_site_fract_x
_atom_site_fract_y
_atom_site_fract_z
Ca1 Ca 0.000 0.000 0.000
Ca2 Ca 0.000 0.500 0.279
Pt1 Pt 0.000 0.500 0.861
Cl1 Cl 0.000 0.000 0.605

Model c:
# Ca2PtCl | the Alexandria database | PBE-GGA | relaxed
# Magnetization (μB per formula unit): 0.00
data_Ca2PtCl
_symmetry_space_group_name_H-M 'P 1 2/m 1'
_symmetry_Int_Tables_number 10
_cell_length_a 3.675
_cell_length_b 3.531
_cell_length_c 7.836
_cell_angle_alpha 90.00
_cell_angle_beta 90.20
_cell_angle_gamma 90.00
loop_
_symmetry_equiv_pos_as_xyz
'x,y,z'
'-x,-y,-z'
'-x,y,-z'
'x,-y,z'
loop_
_atom_site_label
_atom_site_type_symbol
_atom_site_fract_x
_atom_site_fract_y
_atom_site_fract_z
Ca1 Ca 0.002 0.000 0.211
Pt1 Pt 0.500 0.500 0.000
Cl1 Cl 0.000 0.500 0.500

Model d:
# Ca2PtCl | the Alexandria database | PBE-GGA | relaxed
# Magnetization (μB per formula unit): 0.00
data_Ca2PtCl
_symmetry_space_group_name_H-M 'F -4 3 m'
_symmetry_Int_Tables_number 216
_symmetry_space_group_name_Hall 'F -4 2 3'
_cell_length_a 7.184
_cell_length_b 7.184
_cell_length_c 7.184
_cell_angle_alpha 90.00
_cell_angle_beta 90.00
_cell_angle_gamma 90.00
loop_
_atom_site_label
_atom_site_type_symbol
_atom_site_fract_x
_atom_site_fract_y
_atom_site_fract_z
Ca1 Ca 0.000 0.000 0.000
Ca2 Ca 0.250 0.250 0.250
Pt1 Pt 0.250 0.250 0.750
Cl1 Cl 0.000 0.000 0.500

Which structure wins on stability? model c wins.

Model a:
# Ca2PtCl | the Alexandria database | PBE-GGA | relaxed
# Magnetization (μB per formula unit): 0.00
data_Ca2PtCl
_symmetry_space_group_name_H-M 'A m m 2'
_symmetry_Int_Tables_number 38
_cell_length_a 4.713
_cell_length_b 3.669
_cell_length_c 11.164
_cell_angle_alpha 90.00
_cell_angle_beta 90.00
_cell_angle_gamma 90.00
loop_
_symmetry_equiv_pos_as_xyz
'x,y,z'
'-x,-y,z'
'-x,y,z'
'x,-y,z'
'x,y+1/2,z+1/2'
'-x,-y+1/2,z+1/2'
'-x,y+1/2,z+1/2'
'x,-y+1/2,z+1/2'
loop_
_atom_site_label
_atom_site_type_symbol
_atom_site_fract_x
_atom_site_fract_y
_atom_site_fract_z
Ca1 Ca 0.000 0.000 0.000
Ca2 Ca 0.500 0.000 0.252
Pt1 Pt 0.000 0.000 0.732
Cl1 Cl 0.500 0.000 0.499

Model b:
# Ca2PtCl | the Alexandria database | PBE-GGA | relaxed
# Magnetization (μB per formula unit): 0.00
data_Ca2PtCl
_symmetry_space_group_name_H-M 'C 1 2/m 1'
_symmetry_Int_Tables_number 12
_cell_length_a 7.047
_cell_length_b 4.061
_cell_length_c 7.705
_cell_angle_alpha 90.00
_cell_angle_beta 107.83
_cell_angle_gamma 90.00
loop_
_symmetry_equiv_pos_as_xyz
'x,y,z'
'-x,-y,-z'
'-x,y,-z'
'x,-y,z'
'x+1/2,y+1/2,z'
'-x+1/2,-y+1/2,-z'
'-x+1/2,y+1/2,-z'
'x+1/2,-y+1/2,z'
loop_
_atom_site_label
_atom_site_type_symbol
_atom_site_fract_x
_atom_site_fract_y
_atom_site_fract_z
Ca1 Ca 0.241 0.000 0.220
Pt1 Pt 0.000 0.500 0.000
Cl1 Cl 0.000 0.000 0.500

Model c:
# Ca2PtCl | the Alexandria database | PBE-GGA | relaxed
# Magnetization (μB per formula unit): 0.00
data_Ca2PtCl
_symmetry_space_group_name_H-M 'P 4/m m m'
_symmetry_Int_Tables_number 123
_symmetry_space_group_name_Hall '-P 4 2'
_cell_length_a 3.507
_cell_length_b 3.507
_cell_length_c 7.666
_cell_angle_alpha 90.00
_cell_angle_beta 90.00
_cell_angle_gamma 90.00
loop_
_atom_site_label
_atom_site_type_symbol
_atom_site_fract_x
_atom_site_fract_y
_atom_site_fract_z
Ca1 Ca 0.000 0.000 0.219
Pt1 Pt 0.500 0.500 0.000
Cl1 Cl 0.500 0.500 0.500

Which structure wins on stability? model b wins.

Model a:
# CaPtCl | the Alexandria database | PBE-GGA | relaxed
# Magnetization (μB per formula unit): 0.00
data_CaPtCl
_symmetry_space_group_name_H-M 'P -6 m 2'
_symmetry_Int_Tables_number 187
_symmetry_space_group_name_Hall 'P -6 2'
_cell_length_a 4.6120
_cell_length_b 4.6120
_cell_length_c 3.4006
_cell_angle_alpha 90.00
_cell_angle_beta 90.00
_cell_angle_gamma 120.00
loop_
_atom_site_label
_atom_site_type_symbol
_atom_site_fract_x
_atom_site_fract_y
_atom_site_fract_z
Ca1 Ca 0.0000 0.0000 0.0000
Pt1 Pt 0.6667 0.3333 0.5000
Cl1 Cl 0.3333 0.6667 0.5000

Model b:
# CaPtCl | the Alexandria database | PBE-GGA | relaxed
# Magnetization (μB per formula unit): 0.00
data_CaPtCl
_symmetry_space_group_name_H-M 'F m m 2'
_symmetry_Int_Tables_number 42
_symmetry_space_group_name_Hall 'F 2 -2'
_cell_length_a 4.536
_cell_length_b 4.544
_cell_length_c 13.443
_cell_angle_alpha 90.00
_cell_angle_beta 90.00
_cell_angle_gamma 90.00
loop_
_atom_site_label
_atom_site_type_symbol
_atom_site_fract_x
_atom_site_fract_y
_atom_site_fract_z
Ca1 Ca 0.000 0.000 0.000
Pt1 Pt 0.000 0.000 0.648
Cl1 Cl 0.000 0.000 0.381

Model c:
# CaPtCl | the Alexandria database | PBE-GGA | relaxed
# Magnetization (μB per formula unit): 0.00
data_CaPtCl
_symmetry_space_group_name_H-M 'F -4 3 m'
_symmetry_Int_Tables_number 216
_symmetry_space_group_name_Hall 'F -4 2 3'
_cell_length_a 6.667
_cell_length_b 6.667
_cell_length_c 6.667
_cell_angle_alpha 90.00
_cell_angle_beta 90.00
_cell_angle_gamma 90.00
loop_
_atom_site_label
_atom_site_type_symbol
_atom_site_fract_x
_atom_site_fract_y
_atom_site_fract_z
Ca1 Ca 0.000 0.000 0.000
Pt1 Pt 0.250 0.250 0.750
Cl1 Cl 0.000 0.000 0.500

Model d:
# CaPtCl | the Alexandria database | PBE-GGA | relaxed
# Magnetization (μB per formula unit): 0.00
data_CaPtCl
_symmetry_space_group_name_H-M 'P 3 m 1'
_symmetry_Int_Tables_number 156
_cell_length_a 3.4744
_cell_length_b 3.4744
_cell_length_c 6.9269
_cell_angle_alpha 90.00
_cell_angle_beta 90.00
_cell_angle_gamma 120.00
loop_
_symmetry_equiv_pos_as_xyz
'x,y,z'
'-y,x-y,z'
'-x+y,-x,z'
'-y,-x,z'
'-x+y,y,z'
'x,x-y,z'
loop_
_atom_site_label
_atom_site_type_symbol
_atom_site_fract_x
_atom_site_fract_y
_atom_site_fract_z
Ca1 Ca 0.0000 0.0000 0.0000
Pt1 Pt 0.6667 0.3333 0.6988
Cl1 Cl 0.3333 0.6667 0.2541

Which structure wins on stability? model b wins.

Model a:
# CaPt3Cl | the Alexandria database | PBE-GGA | relaxed
# Magnetization (μB per formula unit): 0.00
data_CaPt3Cl
_symmetry_space_group_name_H-M 'P m -3 m'
_symmetry_Int_Tables_number 221
_symmetry_space_group_name_Hall '-P 4 2 3'
_cell_length_a 4.677
_cell_length_b 4.677
_cell_length_c 4.677
_cell_angle_alpha 90.00
_cell_angle_beta 90.00
_cell_angle_gamma 90.00
loop_
_atom_site_label
_atom_site_type_symbol
_atom_site_fract_x
_atom_site_fract_y
_atom_site_fract_z
Ca1 Ca 0.000 0.000 0.000
Pt1 Pt 0.000 0.500 0.500
Cl1 Cl 0.500 0.500 0.500

Model b:
# CaPt3Cl | the Alexandria database | PBE-GGA | relaxed
# Magnetization (μB per formula unit): 0.00
data_CaPt3Cl
_symmetry_space_group_name_H-M 'P m -3 m'
_symmetry_Int_Tables_number 221
_symmetry_space_group_name_Hall '-P 4 2 3'
_cell_length_a 5.082
_cell_length_b 5.082
_cell_length_c 5.082
_cell_angle_alpha 90.00
_cell_angle_beta 90.00
_cell_angle_gamma 90.00
loop_
_atom_site_label
_atom_site_type_symbol
_atom_site_fract_x
_atom_site_fract_y
_atom_site_fract_z
Ca1 Ca 0.000 0.000 0.000
Pt1 Pt 0.000 0.000 0.500
Cl1 Cl 0.500 0.500 0.500

Which structure wins on stability? model a wins.